(1)
! GGA-PBE MnPPd2, relaxed; values from VASP
&SYSTEM
  ibrav = 0, nat = 4, ntyp = 3
/
ATOMIC_SPECIES
Mn 54.94 Mn.upf
Pd 106.42 Pd.upf
P 30.97 P.upf
CELL_PARAMETERS angstrom
0.0000 3.0790 3.0790
3.0790 0.0000 3.0790
3.0790 3.0790 0.0000
ATOMIC_POSITIONS crystal
Mn 0.5000 0.5000 0.5000
Pd 0.2500 0.2500 0.2500
Pd 0.7500 0.7500 0.7500
P 0.0000 0.0000 0.0000
! * DFT formation energy: -17.4 kJ/mol of atoms

(2)
! GGA-PBE Tb4Ce3SmAs8, relaxed; values from VASP
&SYSTEM
  ibrav = 0, nat = 16, ntyp = 4
/
ATOMIC_SPECIES
As 74.92 As.upf
Ce 140.12 Ce.upf
Tb 158.93 Tb.upf
Sm 150.36 Sm.upf
CELL_PARAMETERS angstrom
-2.9493 -7.6429 1.6493
5.1466 -0.5735 6.5457
-5.2618 6.4623 -0.6333
ATOMIC_POSITIONS crystal
As 0.2516 0.7530 0.5032
As 0.7484 0.2470 0.4968
As 0.7511 0.7533 0.5022
As 0.7484 0.2471 0.9987
As 0.2503 0.2471 0.9987
As 0.2489 0.2467 0.4978
As 0.2516 0.7529 0.0013
As 0.7497 0.7529 0.0013
Ce 0.0000 0.5000 0.5000
Ce 0.5000 0.5000 0.0000
Ce 0.5000 0.5000 0.5000
Tb 0.5000 0.0000 0.5000
Tb 0.0000 0.0000 0.5000
Tb 0.5000 0.0000 0.0000
Tb 0.0000 0.0000 0.0000
Sm 0.0000 0.5000 0.0000
! * DFT formation energy: -144.7 kJ/mol of atoms

Number 1: size of the total moment 4.1 Bohr magnetons per cell. Number 2: size of the total moment 1.8 Bohr magnetons per cell.